! LiCoRhF6 GGA+U optimized geometry; values from VASP
&SYSTEM
  ibrav = 0, nat = 18, ntyp = 4
/
ATOMIC_SPECIES
Li 6.94 Li.upf
Co 58.93 Co.upf
Rh 102.91 Rh.upf
F 19.00 F.upf
ATOMIC_POSITIONS crystal
Li 0.000 0.000 0.000
Li 0.500 0.500 0.500
Co 0.000 0.000 0.670
Co 0.500 0.500 0.170
Rh 0.000 0.000 0.334
Rh 0.500 0.500 0.834
F 0.193 0.193 0.498
F 0.195 0.195 0.170
F 0.199 0.199 0.836
F 0.301 0.699 0.336
F 0.305 0.695 0.670
F 0.307 0.693 0.998
F 0.693 0.307 0.998
F 0.695 0.305 0.670
F 0.699 0.301 0.336
F 0.801 0.801 0.836
F 0.805 0.805 0.170
F 0.807 0.807 0.498
CELL_PARAMETERS angstrom
4.730 0.000 0.000
0.000 4.730 0.000
0.000 0.000 9.432
! Electronic total energy = -88.43 eV for the cell shown